Entry from Alexandria via LeMat-Bulk: a crystal of LaScIn2 relaxed with PBEsol (SCAN).

Computed properties:
ΔE_f, eV/atom: -0.64
Calculated volume, Å³/cell: 100.4

Lattice parameters (Å, degrees): 3.289 4.278 7.136 90.00 90.00 90.00
Atoms (fractional coordinates):
La 0.000 0.000 0.000
Sc 0.000 0.000 0.500
In 0.500 0.500 0.288
In 0.500 0.500 0.712